VASP calculation (PBE-GGA) on LaAsW3 after structural relaxation.

a = 4.761 Å, b = 4.761 Å, c = 4.761 Å
α = 90.00°, β = 90.00°, γ = 90.00°
Element x y z (fractional)
La (0.500, 0.500, 0.500)
W (0.000, 0.000, 0.500)
As (0.000, 0.000, 0.000)
W (0.000, 0.500, 0.000)
W (0.500, 0.000, 0.000)

E   -8.557 eV/atom
Total magnetic moment   0.00 Bohr magnetons per cell
Volume   21.59 Å³/atom
E above lowest polymorph   0.0000 eV/atom
Density of states at the Fermi level   4.3 states/eV/f.u.
Symmetry   Pm-3m, No. 221
Energy of formation from the pure elements   5.654 eV per formula unit